Run w
# HgW2Se

A PBEsol-optimized structure of HgW2Se (SCAN, the Alexandria database).

Properties
As for the space group: No. 71. The density of states at the Fermi level comes out at 3.01 states/eV/f.u. The calculation puts the total magnetic moment at 0.0 μB/f.u. The volume is 68.2 Å³/cell.

Lattice parameters (Å, degrees): 3.0331 4.8176 5.4691 116.13 106.10 90.00
Atoms (fractional coordinates):
1 Hg 0.5000 0.0000 0.0000
2 Se 0.0000 0.5000 0.0000
3 W 0.7192 0.7192 0.4385
4 W 0.2808 0.2808 0.5615

Run x
# HgW2Se

A PBEsol-optimized structure of HgW2Se (SCAN, the Alexandria database).

Properties
As for the space group: No. 12. The density of states at the Fermi level comes out at 2.86 states/eV/f.u. The calculation puts the total magnetic moment at 0.0 μB/f.u. The volume is 67.7 Å³/cell.

Lattice parameters (Å, degrees): 2.9623 4.4682 5.5109 99.97 90.00 109.36
Atoms (fractional coordinates):
1 Hg 0.5000 0.0000 0.0000
2 Se 0.0000 0.0000 0.5000
3 W 0.7451 0.4902 0.7213
4 W 0.2549 0.5098 0.2787

The structure with the greatest stability is run x.

Run w
# ZnHgSe

A PBEsol-optimized structure of ZnHgSe (SCAN, the Alexandria database).

Properties
As for the space group: No. 156. The density of states at the Fermi level comes out at 0.37 states/eV/f.u. The calculation puts the total magnetic moment at 0.0 μB/f.u. The volume is 65.9 Å³/cell.

Lattice parameters (Å, degrees): 3.8331 3.8331 5.1788 90.00 90.00 120.00
Atoms (fractional coordinates):
1 Hg 0.0000 0.0000 0.9782
2 Se 0.6667 0.3333 0.4107
3 Zn 0.3333 0.6667 0.6111

Run x
# ZnHgSe

A PBEsol-optimized structure of ZnHgSe (SCAN, the Alexandria database).

Properties
As for the space group: No. 216. The calculation puts the total magnetic moment at 0.0 μB/f.u. The volume is 65.2 Å³/cell.

Lattice parameters (Å, degrees): 4.5180 4.5180 4.5180 60.00 60.00 60.00
Atoms (fractional coordinates):
1 Hg 0.0000 0.0000 0.0000
2 Se 0.5000 0.5000 0.5000
3 Zn 0.7500 0.7500 0.7500

The structure with the greatest stability is run w.

Run w
# ZnHg2Se

A PBEsol-optimized structure of ZnHg2Se (SCAN, the Alexandria database).

Properties
As for the space group: No. 47. The density of states at the Fermi level comes out at 1.97 states/eV/f.u. The calculation puts the total magnetic moment at 0.0 μB/f.u. The volume is 84.0 Å³/cell.

Lattice parameters (Å, degrees): 2.7529 3.8497 7.9237 90.00 90.00 90.00
Atoms (fractional coordinates):
1 Hg 0.0000 0.0000 0.7245
2 Hg 0.0000 0.0000 0.2755
3 Se 0.5000 0.5000 0.0000
4 Zn 0.5000 0.5000 0.5000

Run x
# ZnHg2Se

A PBEsol-optimized structure of ZnHg2Se (SCAN, the Alexandria database).

Properties
As for the space group: No. 139. The density of states at the Fermi level comes out at 0.90 states/eV/f.u. The calculation puts the total magnetic moment at 0.0 μB/f.u. The volume is 90.0 Å³/cell.

Lattice parameters (Å, degrees): 3.8693 3.8693 6.6043 107.03 107.03 90.00
Atoms (fractional coordinates):
1 Hg 0.7500 0.2500 0.5000
2 Hg 0.2500 0.7500 0.5000
3 Se 0.5000 0.5000 0.0000
4 Zn 0.0000 0.0000 0.0000

Run y
# ZnHg2Se

A PBEsol-optimized structure of ZnHg2Se (SCAN, the Alexandria database).

Properties
As for the space group: No. 123. The density of states at the Fermi level comes out at 1.24 states/eV/f.u. The calculation puts the total magnetic moment at 0.0 μB/f.u. The volume is 86.1 Å³/cell.

Lattice parameters (Å, degrees): 3.9850 3.9850 5.4199 90.00 90.00 90.00
Atoms (fractional coordinates):
1 Hg 0.0000 0.0000 0.7480
2 Hg 0.0000 0.0000 0.2520
3 Se 0.5000 0.5000 0.0000
4 Zn 0.5000 0.5000 0.5000

The structure with the greatest stability is run x.

Run w
# SiHg3

A PBEsol-optimized structure of SiHg3 (SCAN, the Alexandria database).

Properties
As for the space group: No. 187. The density of states at the Fermi level comes out at 1.32 states/eV/f.u. The calculation puts the total magnetic moment at 0.0 μB/f.u. The volume is 84.6 Å³/cell.

Lattice parameters (Å, degrees): 3.0111 3.0111 10.7733 90.00 90.00 120.00
Atoms (fractional coordinates):
1 Hg 0.0000 0.0000 0.2661
2 Hg 0.0000 0.0000 0.7339
3 Hg 0.3333 0.6667 0.0000
4 Si 0.3333 0.6667 0.5000

Run x
# SiHg3

A PBEsol-optimized structure of SiHg3 (SCAN, the Alexandria database).

Properties
As for the space group: No. 71. The density of states at the Fermi level comes out at 1.84 states/eV/f.u. The calculation puts the total magnetic moment at 0.0 μB/f.u. The volume is 88.5 Å³/cell.

Lattice parameters (Å, degrees): 3.2349 4.3640 6.8317 108.63 103.70 90.00
Atoms (fractional coordinates):
1 Hg 0.6960 0.6960 0.3919
2 Hg 0.3040 0.3040 0.6081
3 Hg 0.5000 0.0000 0.0000
4 Si 0.0000 0.5000 0.0000

The structure with the greatest stability is run x.

Run w
# Si2Hg

A PBEsol-optimized structure of Si2Hg (SCAN, the Alexandria database).

Properties
As for the space group: No. 63. The density of states at the Fermi level comes out at 1.15 states/eV/f.u. The calculation puts the total magnetic moment at 0.0 μB/f.u. The volume is 107.5 Å³/cell.

Lattice parameters (Å, degrees): 2.8959 3.3868 11.0527 90.00 97.53 90.00
Atoms (fractional coordinates):
1 Hg 0.8008 0.7500 0.6015
2 Hg 0.1992 0.2500 0.3985
3 Si 0.0985 0.7500 0.1971
4 Si 0.4576 0.7500 0.9152
5 Si 0.5424 0.2500 0.0848
6 Si 0.9015 0.2500 0.8029

Run x
# Si2Hg

A PBEsol-optimized structure of Si2Hg (SCAN, the Alexandria database).

Properties
As for the space group: No. 194. The density of states at the Fermi level comes out at 1.38 states/eV/f.u. The calculation puts the total magnetic moment at 0.0 μB/f.u. The volume is 109.5 Å³/cell.

Lattice parameters (Å, degrees): 4.8627 4.8627 5.3494 90.00 90.00 120.00
Atoms (fractional coordinates):
1 Hg 0.6667 0.3333 0.7500
2 Hg 0.3333 0.6667 0.2500
3 Si 0.0000 0.0000 0.0000
4 Si 0.0000 0.0000 0.5000
5 Si 0.6667 0.3333 0.2500
6 Si 0.3333 0.6667 0.7500

Run y
# Si2Hg

A PBEsol-optimized structure of Si2Hg (SCAN, the Alexandria database).

Properties
As for the space group: No. 194. The density of states at the Fermi level comes out at 0.82 states/eV/f.u. The calculation puts the total magnetic moment at 0.0 μB/f.u. The volume is 136.2 Å³/cell.

Lattice parameters (Å, degrees): 4.0704 4.0704 9.4900 90.00 90.00 120.00
Atoms (fractional coordinates):
1 Hg 0.3333 0.6667 0.2500
2 Hg 0.6667 0.3333 0.7500
3 Si 0.0000 0.0000 0.1233
4 Si 0.0000 0.0000 0.6233
5 Si 0.0000 0.0000 0.8767
6 Si 0.0000 0.0000 0.3767

Run z
# Si2Hg

A PBEsol-optimized structure of Si2Hg (SCAN, the Alexandria database).

Properties
As for the space group: No. 162. The density of states at the Fermi level comes out at 0.86 states/eV/f.u. The calculation puts the total magnetic moment at 0.0 μB/f.u. The volume is 225.3 Å³/cell.

Lattice parameters (Å, degrees): 5.7957 6.6991 6.6991 120.00 90.00 90.00
Atoms (fractional coordinates):
1 Hg 0.0000 0.0000 0.0000
2 Hg 0.5000 0.6667 0.3333
3 Hg 0.5000 0.3333 0.6667
4 Si 0.3476 0.7487 0.0000
5 Si 0.3476 0.2513 0.2513
6 Si 0.3476 0.0000 0.7487
7 Si 0.6524 0.0000 0.2513
8 Si 0.6524 0.7487 0.7487
9 Si 0.6524 0.2513 0.0000

The structure with the greatest stability is run w.

Run w
# Si2HgTe

A PBEsol-optimized structure of Si2HgTe (SCAN, the Alexandria database).

Properties
As for the space group: No. 166. The density of states at the Fermi level comes out at 1.77 states/eV/f.u. The calculation puts the total magnetic moment at 0.0 μB/f.u. The volume is 85.3 Å³/cell.

Lattice parameters (Å, degrees): 3.8956 3.8956 6.8714 73.53 73.53 60.00
Atoms (fractional coordinates):
1 Hg 0.0000 0.0000 0.0000
2 Si 0.2557 0.2557 0.2328
3 Si 0.7443 0.7443 0.7672
4 Te 0.5000 0.5000 0.5000

Run x
# Si2HgTe

A PBEsol-optimized structure of Si2HgTe (SCAN, the Alexandria database).

Properties
As for the space group: No. 225. The density of states at the Fermi level comes out at 2.27 states/eV/f.u. The calculation puts the total magnetic moment at 0.0 μB/f.u. The volume is 82.4 Å³/cell.

Lattice parameters (Å, degrees): 4.8840 4.8840 4.8840 60.00 60.00 60.00
Atoms (fractional coordinates):
1 Hg 0.0000 0.0000 0.0000
2 Si 0.2500 0.2500 0.2500
3 Si 0.7500 0.7500 0.7500
4 Te 0.5000 0.5000 0.5000

Run y
# Si2HgTe

A PBEsol-optimized structure of Si2HgTe (SCAN, the Alexandria database).

Properties
As for the space group: No. 99. The density of states at the Fermi level comes out at 1.20 states/eV/f.u. The calculation puts the total magnetic moment at 0.0 μB/f.u. The volume is 91.3 Å³/cell.

Lattice parameters (Å, degrees): 3.5781 3.5781 7.1299 90.00 90.00 90.00
Atoms (fractional coordinates):
1 Hg 0.5000 0.5000 0.7505
2 Si 0.0000 0.0000 0.1446
3 Si 0.5000 0.5000 0.1009
4 Te 0.0000 0.0000 0.5040

The structure with the greatest stability is run y.

Run w
# TlSi2Hg

A PBEsol-optimized structure of TlSi2Hg (SCAN, the Alexandria database).

Properties
As for the space group: No. 139. The density of states at the Fermi level comes out at 1.80 states/eV/f.u. The calculation puts the total magnetic moment at 0.0 μB/f.u. The volume is 83.4 Å³/cell.

Lattice parameters (Å, degrees): 4.0633 4.0633 5.8097 110.47 110.47 90.00
Atoms (fractional coordinates):
1 Hg 0.0000 0.0000 0.0000
2 Si 0.7500 0.2500 0.5000
3 Si 0.2500 0.7500 0.5000
4 Tl 0.5000 0.5000 0.0000

Run x
# TlSi2Hg

A PBEsol-optimized structure of TlSi2Hg (SCAN, the Alexandria database).

Properties
As for the space group: No. 123. The density of states at the Fermi level comes out at 2.18 states/eV/f.u. The calculation puts the total magnetic moment at 0.0 μB/f.u. The volume is 87.6 Å³/cell.

Lattice parameters (Å, degrees): 3.5796 3.5796 6.8349 90.00 90.00 90.00
Atoms (fractional coordinates):
1 Hg 0.5000 0.5000 0.5000
2 Si 0.0000 0.0000 0.6825
3 Si 0.0000 0.0000 0.3175
4 Tl 0.5000 0.5000 0.0000

The structure with the greatest stability is run x.

Run w
# SiHgW2

A PBEsol-optimized structure of SiHgW2 (SCAN, the Alexandria database).

Properties
As for the space group: No. 65. The density of states at the Fermi level comes out at 3.05 states/eV/f.u. The calculation puts the total magnetic moment at 0.0 μB/f.u. The volume is 63.3 Å³/cell.

Lattice parameters (Å, degrees): 2.7486 4.9578 4.9578 110.45 90.00 90.00
Atoms (fractional coordinates):
1 Hg 0.5000 0.0000 0.0000
2 Si 0.5000 0.5000 0.5000
3 W 0.0000 0.5000 0.0000
4 W 0.0000 0.0000 0.5000

Run x
# SiHgW2

A PBEsol-optimized structure of SiHgW2 (SCAN, the Alexandria database).

Properties
As for the space group: No. 35. The density of states at the Fermi level comes out at 1.81 states/eV/f.u. The calculation puts the total magnetic moment at 0.0 μB/f.u. The volume is 68.6 Å³/cell.

Lattice parameters (Å, degrees): 2.7598 2.7598 9.4754 90.00 90.00 108.09
Atoms (fractional coordinates):
1 Hg 0.0000 0.0000 0.5136
2 Si 0.5000 0.5000 0.2111
3 W 0.0000 0.0000 0.0002
4 W 0.5000 0.5000 0.7751

Run y
# SiHgW2

A PBEsol-optimized structure of SiHgW2 (SCAN, the Alexandria database).

Properties
As for the space group: No. 12. The density of states at the Fermi level comes out at 2.12 states/eV/f.u. The calculation puts the total magnetic moment at 0.0 μB/f.u. The volume is 64.3 Å³/cell.

Lattice parameters (Å, degrees): 2.7907 5.2012 5.2012 115.29 100.37 100.37
Atoms (fractional coordinates):
1 Hg 0.5000 0.0000 0.0000
2 Si 0.5000 0.5000 0.5000
3 W 0.0000 0.5000 0.0000
4 W 0.0000 0.0000 0.5000

The structure with the greatest stability is run x.

Run w
# ZnSi2Hg

A PBEsol-optimized structure of ZnSi2Hg (SCAN, the Alexandria database).

Properties
As for the space group: No. 216. The density of states at the Fermi level comes out at 1.26 states/eV/f.u. The calculation puts the total magnetic moment at 0.0 μB/f.u. The volume is 69.6 Å³/cell.

Lattice parameters (Å, degrees): 4.6179 4.6179 4.6179 60.00 60.00 60.00
Atoms (fractional coordinates):
1 Hg 0.5000 0.5000 0.5000
2 Si 0.0000 0.0000 0.0000
3 Si 0.7500 0.7500 0.7500
4 Zn 0.2500 0.2500 0.2500

Run x
# ZnSi2Hg

A PBEsol-optimized structure of ZnSi2Hg (SCAN, the Alexandria database).

Properties
As for the space group: No. 65. The density of states at the Fermi level comes out at 1.40 states/eV/f.u. The calculation puts the total magnetic moment at 0.0 μB/f.u. The volume is 69.9 Å³/cell.

Lattice parameters (Å, degrees): 2.7466 5.2851 5.4912 118.77 90.00 90.00
Atoms (fractional coordinates):
1 Hg 0.5000 0.5000 0.0000
2 Si 0.0000 0.0000 0.5000
3 Si 0.0000 0.5000 0.5000
4 Zn 0.5000 0.0000 0.0000

The structure with the greatest stability is run x.

Run w
# ZnSi2Hg

A PBEsol-optimized structure of ZnSi2Hg (SCAN, the Alexandria database).

Properties
As for the space group: No. 122. The density of states at the Fermi level comes out at 1.19 states/eV/f.u. The calculation puts the total magnetic moment at 0.0 μB/f.u. The volume is 145.6 Å³/cell.

Lattice parameters (Å, degrees): 4.1803 4.1803 8.8411 103.67 103.67 90.00
Atoms (fractional coordinates):
1 Zn 0.7500 0.2500 0.5000
2 Zn 0.5000 0.5000 0.0000
3 Si 0.4445 0.8750 0.2500
4 Si 0.8055 0.3750 0.2500
5 Si 0.1250 0.1945 0.7500
6 Si 0.6250 0.5555 0.7500
7 Hg 0.2500 0.7500 0.5000
8 Hg 0.0000 0.0000 0.0000

Run x
# ZnSi2Hg

A PBEsol-optimized structure of ZnSi2Hg (SCAN, the Alexandria database).

Properties
As for the space group: No. 71. The density of states at the Fermi level comes out at 1.39 states/eV/f.u. The calculation puts the total magnetic moment at 0.0 μB/f.u. The volume is 69.3 Å³/cell.

Lattice parameters (Å, degrees): 2.7228 4.7423 6.0229 113.18 103.06 90.00
Atoms (fractional coordinates):
1 Hg 0.0000 0.5000 0.0000
2 Si 0.7811 0.7811 0.5621
3 Si 0.2189 0.2189 0.4379
4 Zn 0.5000 0.0000 0.0000

The structure with the greatest stability is run w.

Run w
# SrHg5

A PBEsol-optimized structure of SrHg5 (SCAN, the Alexandria database).

Properties
As for the space group: No. 189. The density of states at the Fermi level comes out at 2.17 states/eV/f.u. The calculation puts the total magnetic moment at 0.0 μB/f.u. The volume is 148.5 Å³/cell.

Lattice parameters (Å, degrees): 5.1819 5.7526 5.7526 120.00 90.00 90.00
Atoms (fractional coordinates):
1 Sr 0.5000 0.0000 0.0000
2 Hg 0.0000 0.3585 0.3585
3 Hg 0.0000 0.6415 0.0000
4 Hg 0.0000 0.0000 0.6415
5 Hg 0.5000 0.3333 0.6667
6 Hg 0.5000 0.6667 0.3333

Run x
# SrHg5

A PBEsol-optimized structure of SrHg5 (SCAN, the Alexandria database).

Properties
As for the space group: No. 12. The density of states at the Fermi level comes out at 1.91 states/eV/f.u. The calculation puts the total magnetic moment at 0.0 μB/f.u. The volume is 149.2 Å³/cell.

Lattice parameters (Å, degrees): 5.0782 5.1147 6.6272 92.99 90.00 119.76
Atoms (fractional coordinates):
1 Sr 0.5000 0.0000 0.5000
2 Hg 0.8436 0.6871 0.7623
3 Hg 0.5000 0.0000 0.0000
4 Hg 0.1564 0.3129 0.2377
5 Hg 0.1756 0.3512 0.7621
6 Hg 0.8244 0.6488 0.2379

The structure with the greatest stability is run x.